# CsScNiI6 PBE optimized geometry
# Total magnetic moment in μB per formula unit: 1.94
# Calculated volume in Å³/cell: 414
# ΔE_f (raw) in meV/atom: -895
data_CsScNiI6
_symmetry_space_group_name_H-M 'P 3 1 2'
_symmetry_Int_Tables_number 149
_cell_length_a 7.3755
_cell_length_b 7.3755
_cell_length_c 8.7969
_cell_angle_alpha 90.00
_cell_angle_beta 90.00
_cell_angle_gamma 120.00
loop_
_symmetry_equiv_pos_as_xyz
'x,y,z'
'-y,x-y,z'
'-x+y,-x,z'
'-y,-x,-z'
'-x+y,y,-z'
'x,x-y,-z'
loop_
_atom_site_label
_atom_site_type_symbol
_atom_site_fract_x
_atom_site_fract_y
_atom_site_fract_z
_atom_site_occupancy
Cs1 Cs 0.0000 0.0000 0.0000 1
Sc1 Sc 0.3333 0.6667 0.5000 1
Ni1 Ni 0.6667 0.3333 0.5000 1
I1 I 0.3770 0.0125 0.6831 1

# Cs2PuSi2O6 PBE optimized geometry
# Total magnetic moment in μB per formula unit: 4.00
# D(E_F) in states/eV/atom: 0.414
# Calculated volume in Å³/cell: 562
# ΔE_f (raw) in meV/atom: -2443
data_Cs2PuSi2O6
_symmetry_space_group_name_H-M 'R -3 m'
_symmetry_Int_Tables_number 166
_symmetry_space_group_name_Hall '-R 3 2"'
_cell_length_a 6.0143
_cell_length_b 6.0143
_cell_length_c 17.9306
_cell_angle_alpha 90.00
_cell_angle_beta 90.00
_cell_angle_gamma 120.00
loop_
_atom_site_label
_atom_site_type_symbol
_atom_site_fract_x
_atom_site_fract_y
_atom_site_fract_z
_atom_site_occupancy
Cs1 Cs 0.0000 0.0000 0.2226 1
Pu1 Pu 0.0000 0.0000 0.0000 1
Si1 Si 0.0000 0.0000 0.4317 1
O1 O 0.0291 0.5146 0.2632 1

# Mg3As PBE optimized geometry
# Total magnetic moment in μB per formula unit: 0.00
# D(E_F) in states/eV/atom: 0.327
# Calculated volume in Å³/cell: 252
# Formation energy in eV/atom: -0.023
data_Mg3As
_symmetry_space_group_name_H-M 'R -3 m'
_symmetry_Int_Tables_number 166
_symmetry_space_group_name_Hall '-R 3 2"'
_cell_length_a 9.9274
_cell_length_b 9.9274
_cell_length_c 2.9519
_cell_angle_alpha 90.00
_cell_angle_beta 90.00
_cell_angle_gamma 120.00
loop_
_atom_site_label
_atom_site_type_symbol
_atom_site_fract_x
_atom_site_fract_y
_atom_site_fract_z
_atom_site_occupancy
Mg1 Mg 0.0000 0.5000 0.0000 1
As1 As 0.0000 0.0000 0.0000 1

# PmSm3Th2 PBE optimized geometry
# Total magnetic moment in μB per formula unit: 0.00
# D(E_F) in states/eV/atom: 1.537
# Relative energy among the computed polymorphs in meV/atom: 41
# Calculated volume in Å³/cell: 402
# Formation energy in eV/atom: 0.100
data_PmSm3Th2
_symmetry_space_group_name_H-M 'P 1 21/m 1'
_symmetry_Int_Tables_number 11
_cell_length_a 9.755
_cell_length_b 3.543
_cell_length_c 11.671
_cell_angle_alpha 90.00
_cell_angle_beta 93.79
_cell_angle_gamma 90.00
loop_
_symmetry_equiv_pos_as_xyz
'x,y,z'
'-x,-y,-z'
'-x,y+1/2,-z'
'x,-y+1/2,z'
loop_
_atom_site_label
_atom_site_type_symbol
_atom_site_fract_x
_atom_site_fract_y
_atom_site_fract_z
_atom_site_occupancy
Pm1 Pm 0.242 0.250 0.359 1
Sm1 Sm 0.078 0.750 0.124 1
Sm2 Sm 0.240 0.750 0.861 1
Sm3 Sm 0.397 0.750 0.610 1
Th1 Th 0.078 0.250 0.620 1
Th2 Th 0.441 0.750 0.123 1